AcLaCoIr: relaxed, PBE-GGA.

abc: 5.136 5.136 5.136
angles: 60.00 60.00 60.00
Each line ends with the local moment (μB).
Fractional coordinates of all 4 atoms:
Ac 0.250 0.250 0.250  -0.08
Co 0.000 0.000 0.000  1.00
La 0.750 0.750 0.750  -0.11
Ir 0.500 0.500 0.500  0.09

Results
- Magnetic moment: 0.64 μB per formula unit
- Formation enthalpy at 0 K: -0.81 eV/f.u.

***

Ac2La6CoIr: relaxed, PBE-GGA.

abc: 7.933 7.941 7.988
angles: 120.52 119.94 88.39
Fractional coordinates of all 10 atoms:
Ac 0.680 0.284 0.516
La 0.204 0.240 0.493
Co 0.001 0.001 0.001
La 0.796 0.762 0.507
Ac 0.319 0.716 0.483
La 0.238 0.752 0.975
La 0.218 0.212 0.936
La 0.762 0.249 0.024
La 0.781 0.789 0.063
Ir 0.500 0.501 0.001

Results
- Magnetic moment: 0.00 μB per formula unit
- Formation enthalpy at 0 K: -1.60 eV/f.u.

***

LiAc6CoIr: relaxed, PBE-GGA.

abc: 7.495 7.495 7.289
angles: 90.00 90.00 59.99
Fractional coordinates of all 9 atoms:
Co 0.333 0.333 0.500
Ac 0.009 0.355 0.273
Ac 0.636 0.355 0.727
Ac 0.636 0.009 0.273
Li 0.000 0.000 0.000
Ir 0.667 0.667 0.500
Ac 0.355 0.009 0.727
Ac 0.355 0.636 0.273
Ac 0.009 0.636 0.727

Results
- Magnetic moment: 0.00 μB per formula unit
- Formation enthalpy at 0 K: -1.04 eV/f.u.